No. 1
Crystalline Pu3FeGe2 at its relaxed geometry, computed with PBE.

a = 6.122 Å, b = 13.021 Å, c = 6.091 Å
α = 90.00°, β = 90.00°, γ = 90.00°
Space group Ibam (No. 72)
Inequivalent atoms, fractional coordinates:
Pu 0.000 0.000 0.250 x4
Pu 0.227 0.142 0.000 x8
Fe 0.000 0.500 0.250 x4
Ge 0.211 0.371 0.000 x8

## Properties
Energy relative to the lowest polymorph listed for this composition in eV per formula unit: 1.07

=====

No. 2
Crystalline Pu3Fe2Ge3 at its relaxed geometry, computed with PBE.

a = 4.226 Å, b = 10.179 Å, c = 14.295 Å
α = 90.00°, β = 90.00°, γ = 90.00°
Space group Cmcm (No. 63)
Inequivalent atoms, fractional coordinates:
Pu 0.000 0.091 0.112 x8
Pu 0.000 0.392 0.250 x4
Fe 0.000 0.222 0.586 x8
Ge 0.000 0.311 0.750 x4
Ge 0.000 0.386 0.045 x8

=====

Going through the records in order, we get density of states at the Fermi level values of 13.45; 25.59 states/eV/f.u..
Going through the records in order, we get magnetization values of 0.573; 0.196 μB/atom.
Going through the records in order, we get VASP energy values of -247.54; -305.12 eV/cell.